First-principles (GGA-PBE) data for a relaxed structure of Be2CdOs, as listed in Alexandria.

a b c (Å): 4.973 4.973 4.973
angles (deg): 139.91 139.91 57.99
Atoms (fractional coordinates):
Be 0.000 0.000 0.000
Be 0.750 0.250 0.500
Cd 0.250 0.750 0.500
Os 0.500 0.500 0.000

## Properties
- formation energy (eV/atom) = 0.272
- energy (eV/atom) = -4.63
- symmetry = I-4m2 (119)

First-principles (GGA-PBE) data for a relaxed structure of Gd2GeIr, as listed in Alexandria.

a b c (Å): 5.005 5.005 5.005
angles (deg): 60.00 60.00 60.00
Atoms (fractional coordinates):
Gd 0.250 0.250 0.250
Gd 0.750 0.750 0.750
Ge 0.000 0.000 0.000
Ir 0.500 0.500 0.500

## Properties
- formation energy (eV/atom) = -0.661
- excess energy over the best structure of this formula in the dataset (meV/atom) = 38
- energy (eV/atom) = -11.07
- symmetry = Fm-3m (225)

First-principles (GGA-PBE) data for a relaxed structure of Li4ErAg, as listed in Alexandria.

a b c (Å): 5.395 5.395 5.395
angles (deg): 60.00 60.00 60.00
Atoms (fractional coordinates):
Li 0.377 0.377 0.377
Li 0.377 0.377 0.869
Li 0.377 0.869 0.377
Li 0.869 0.377 0.377
Er 0.000 0.000 0.000
Ag 0.750 0.750 0.750

## Properties
- formation energy (eV/atom) = 0.032
- energy (eV/atom) = -2.48
- symmetry = F-43m (216)

First-principles (GGA-PBE) data for a relaxed structure of NpTl2Cl2O2, as listed in Alexandria.

a b c (Å): 9.256 9.256 9.256
angles (deg): 152.54 152.54 39.23
Atoms (fractional coordinates):
Np 0.000 0.000 0.000
Tl 0.369 0.369 0.000
Tl 0.631 0.631 0.000
Cl 0.162 0.162 0.000
Cl 0.838 0.838 0.000
O 0.000 0.500 0.500
O 0.500 0.000 0.500

## Properties
- energy (eV/atom) = -6.19
- symmetry = I4/mmm (139)

First-principles (GGA-PBE) data for a relaxed structure of SiSb2Os, as listed in Alexandria.

a b c (Å): 8.904 8.904 8.904
angles (deg): 21.31 21.31 21.31
Atoms (fractional coordinates):
Si 0.000 0.000 0.000
Sb 0.243 0.243 0.243
Sb 0.757 0.757 0.757
Os 0.500 0.500 0.500

## Properties
- energy (eV/atom) = -5.64
- symmetry = R-3m (166)

First-principles (GGA-PBE) data for a relaxed structure of Hf2Cr2Ir, as listed in Alexandria.

a b c (Å): 6.306 6.306 4.182
angles (deg): 90.00 90.00 90.00
Atoms (fractional coordinates):
Hf 0.181 0.319 0.000
Hf 0.319 0.819 0.000
Hf 0.681 0.181 0.000
Hf 0.819 0.681 0.000
Cr 0.116 0.616 0.500
Cr 0.384 0.116 0.500
Cr 0.616 0.884 0.500
Cr 0.884 0.384 0.500
Ir 0.000 0.000 0.500
Ir 0.500 0.500 0.500

## Properties
- formation energy (eV/atom) = -0.143
- energy (eV/atom) = -9.75
- symmetry = P4/mbm (127)

Question: Look up the energy of the fifth one.
Answer: -5.64 eV/atom

What did the second record say?
First-principles (GGA-PBE) data for a relaxed structure of Gd2GeIr, as listed in Alexandria.

a b c (Å): 5.005 5.005 5.005
angles (deg): 60.00 60.00 60.00
Atoms (fractional coordinates):
Gd 0.250 0.250 0.250
Gd 0.750 0.750 0.750
Ge 0.000 0.000 0.000
Ir 0.500 0.500 0.500

## Properties
- formation energy (eV/atom) = -0.661
- excess energy over the best structure of this formula in the dataset (meV/atom) = 38
- energy (eV/atom) = -11.07
- symmetry = Fm-3m (225)

Question: Look up the energy of the sixth one.
Answer: -9.75 eV/atom

Question: Which value of energy does entry 4 give?
Answer: -6.19 eV/atom